No. 1
Below is InPbI2 after structural relaxation, with properties calculated at the PBE-GGA level.

Energy relative to the lowest polymorph listed for this composition = 0 meV per atom
SG = R-3m (166)
Final energy = -10.69 eV per cell
Formation energy without anion corrections = -0.28 eV/atom

The structure in POSCAR format:
```
InPbI2
1.0
2.0955 1.2098 9.8590
-2.0955 1.2098 9.8590
0.0000 -2.4196 9.8590
In Pb I
1 1 2
Cartesian
0.0000 0.0000 0.0000
0.0000 0.0000 14.7885
0.0000 0.0000 7.3488
0.0000 0.0000 22.2282
```

---

No. 2
Below is LiLaPrSc after structural relaxation, with properties calculated at the PBE-GGA level.

Formation energy from the elements = 12 kJ/mol of atoms
SG = F-43m (216)
Final energy = -17.44 eV per cell

The structure in POSCAR format:
```
LiLaPrSc
1.0
0.0000 3.9052 3.9052
3.9052 0.0000 3.9052
3.9052 3.9052 0.0000
Li La Pr Sc
1 1 1 1
Cartesian
0.0000 0.0000 0.0000
1.9526 1.9526 1.9526
5.8577 5.8577 5.8577
3.9052 3.9052 3.9052
```

---

Which value of final energy does entry 1 give?
-10.69 eV per cell